This record from the Alexandria database describes crystalline NaGdCdAu at its relaxed geometry. The functional is GGA-PBE.

Results
- Calculated density: 8.51 Mg/m³
- Spin magnetization: 7.28 Bohr magnetons per cell
- Space group: F-43m, No. 216
- Energy of formation: -346 meV/atom

Unit cell a=5.1310 b=5.1310 c=5.1310 alpha=60.00 beta=60.00 gamma=60.00
Last column: nearest neighbours and their distance in Å.
Fractional coordinates of all 4 atoms:
Na1 0.5000 0.5000 0.5000  4 Cd 3.14, 4 Au 3.14
Gd1 0.0000 0.0000 0.0000  4 Cd 3.14, 4 Au 3.14
Au1 0.7500 0.7500 0.7500  4 Gd 3.14, 4 Na 3.14
Cd1 0.2500 0.2500 0.2500  4 Na 3.14, 4 Gd 3.14